A plane-wave DFT calculation with PBE was carried out for a relaxed structure of Sn2HgS2Br2.

Cell and atoms, written as POSCAR:
```
Sn2HgS2Br2
1.0
-3.509 -1.576 1.993
1.881 -6.574 2.821
0.911 1.420 7.437
Sn Hg S Br
2 1 2 2
Cartesian
0.665 -2.970 3.531 Sn
-1.381 -3.760 8.720 Sn
0.000 0.000 0.000 Hg
1.445 -3.517 9.179 S
-2.160 -3.213 3.072 S
-0.858 -1.486 6.732 Br
0.142 -5.244 5.519 Br
```

Summary:
Formation energy (no corrections), eV/atom: -0.482
Symmetry: No. 12
Electronic total energy, Ry/atom: -0.2445